1.
{
  "formula": "SmLuCu4",
  "functional": "PBE",
  "state": "relaxed",
  "density_g_cm3": 9.349,
  "e_tot_ev_per_atom": -4.436,
  "delta_e_f_ev_per_atom": -0.165,
  "lattice": [[-2.3613, -4.3428, -1.7990], [1.5764, -4.7337, 1.6670], [-3.0855, -2.8283, 3.1863]],
  "species": ["Sm", "Lu", "Cu", "Cu", "Cu", "Cu"],
  "fractional_positions": [[0.0000, 0.0000, 0.0000], [0.2500, 0.2500, 0.2500], [0.1277, 0.6241, 0.6241], [0.6241, 0.6241, 0.1277], [0.6241, 0.1277, 0.6241], [0.6241, 0.6241, 0.6241]]
}

2.
{
  "formula": "AcNpP2",
  "functional": "PBE",
  "state": "relaxed",
  "density_g_cm3": 8.221,
  "e_tot_ev_per_atom": -7.872,
  "delta_e_f_ev_per_atom": -0.905,
  "polymorph_energy_ev_per_fu": 0.767,
  "lattice": [[4.0795, 0.0000, 0.0000], [2.0397, 3.5329, 0.0000], [2.0397, 1.1776, 7.3706]],
  "species": ["P", "P", "Np", "Ac"],
  "fractional_positions": [[0.0903, 0.0903, 0.7291], [0.2414, 0.2414, 0.2757], [0.4983, 0.4983, 0.5051], [0.6700, 0.6700, 0.9901]]
}

3.
{
  "formula": "SnSb2Pd",
  "functional": "PBE",
  "state": "relaxed",
  "density_g_cm3": 5.128,
  "e_tot_ev_per_atom": -3.842,
  "formation_energy_uncorrected_ev_per_atom": 0.518,
  "lattice": [[4.9925, 0.0000, 0.0000], [2.4963, 4.3236, 0.0000], [2.4963, 1.4412, 7.0305]],
  "species": ["Pd", "Sb", "Sn", "Sb"],
  "fractional_positions": [[0.0000, 0.0000, 0.0000], [0.1204, 0.1204, 0.6388], [0.5000, 0.5000, 0.5000], [0.8796, 0.8796, 0.3612]]
}

4.
{
  "formula": "Cs2SbOs",
  "functional": "PBE",
  "state": "relaxed",
  "density_g_cm3": 4.227,
  "e_tot_ev_per_atom": -3.710,
  "formation_energy_uncorrected_ev_per_atom": 0.555,
  "lattice": [[4.9928, -0.3787, 8.4461], [-6.6629, 4.3158, -5.7783], [-5.9626, -7.4095, 2.4404]],
  "species": ["Cs", "Os", "Os", "Sb", "Cs", "Cs", "Sb", "Cs"],
  "fractional_positions": [[0.1250, 0.9373, 0.3123], [0.2500, 0.7500, 0.5000], [0.0000, 0.0000, 0.0000], [0.5000, 0.5000, 0.0000], [0.0627, 0.3750, 0.1877], [0.1873, 0.8750, 0.8123], [0.7500, 0.2500, 0.5000], [0.6250, 0.8127, 0.6877]]
}

| no. | spin magnetization (Bohr magnetons per cell) |
| --- | --- |
| 1 | 0.00 |
| 2 | 3.94 |
| 3 | 0.00 |
| 4 | 2.02 |